[1]
Here is a relaxed KCuPb3 crystal from Alexandria. Energies are from GGA-PBE.

Structure (POSCAR):
```
KCuPb3
1.0
-2.7218 -0.1871 -5.3750
-2.5500 -5.2591 1.4743
-4.7354 2.9396 2.2955
Pb K Cu
3 1 1
Direct
0.0000 0.5000 0.0000
0.0000 0.0000 0.5000
0.5000 0.0000 0.0000
0.0000 0.0000 0.0000
0.5000 0.5000 0.5000
```

As for the distance to the lowest polymorph of the same formula: 1200 meV/atom. The total energy is -0.1434 Ry per atom. Its mass density is 5.5 Mg/m³. For the magnetic moment, the calculation gives 0.000 μB per atom. The formation energy is 126.63 kJ per mole of atoms. The volume comes out at 219.01 Å³/cell.


[2]
Here is a relaxed KCu2Pb crystal from Alexandria. Energies are from GGA-PBE.

Structure (POSCAR):
```
KCu2Pb
1.0
-3.1341 -3.5532 -1.7123
0.6085 -1.8736 -4.6366
1.6409 -4.7235 -0.6127
Cu K Pb
2 1 1
Direct
0.0000 0.0000 0.0000
0.2500 0.2500 0.2500
0.5000 0.5000 0.5000
0.7500 0.7500 0.7500
```

The total energy is -0.1988 Ry per atom. Its mass density is 6.9 Mg/m³. For the magnetic moment, the calculation gives 0.000 μB per atom. The formation energy is 52.62 kJ per mole of atoms. The volume comes out at 90.41 Å³/cell.


[3]
Here is a relaxed K2CuPb crystal from Alexandria. Energies are from GGA-PBE.

Structure (POSCAR):
```
K2CuPb
1.0
-4.8094 0.8742 -3.9225
-1.0011 -2.5786 5.6239
-0.5854 3.4883 1.4952
Cu K Pb
1 2 1
Direct
0.0000 0.5000 0.5000
0.0000 0.0000 0.0000
0.5000 0.5000 0.0000
0.5000 0.0000 0.5000
```

The total energy is -0.1635 Ry per atom. Its mass density is 4.4 Mg/m³. For the magnetic moment, the calculation gives 0.000 μB per atom. The formation energy is 26.56 kJ per mole of atoms. The volume comes out at 130.94 Å³/cell.


[4]
Here is a relaxed KCuPb4 crystal from Alexandria. Energies are from GGA-PBE.

Structure (POSCAR):
```
KCuPb4
1.0
0.0000 4.6269 4.6269
4.6269 0.0000 4.6269
4.6269 4.6269 0.0000
K Cu Pb
1 1 4
Direct
0.0000 0.0000 0.0000
0.7500 0.7500 0.7500
0.8731 0.3756 0.3756
0.3756 0.3756 0.8731
0.3756 0.8731 0.3756
0.3756 0.3756 0.3756
```

The total energy is -0.2255 Ry per atom. Its mass density is 7.8 Mg/m³. For the magnetic moment, the calculation gives 0.000 μB per atom. The formation energy is 26.02 kJ per mole of atoms. The volume comes out at 198.11 Å³/cell.


[5]
Here is a relaxed K2CuPb crystal from Alexandria. Energies are from GGA-PBE.

Structure (POSCAR):
```
K2CuPb
1.0
-2.8257 3.7640 0.4273
-3.0988 0.2701 3.5579
4.1382 5.3441 6.3252
Cu K Pb
1 2 1
Direct
0.2091 0.2091 0.3757
0.9632 0.9632 0.1074
0.7858 0.7858 0.6423
0.5419 0.5419 0.3745
```

The total energy is -0.1792 Ry per atom. Its mass density is 3.4 Mg/m³. For the magnetic moment, the calculation gives 0.000 μB per atom. The formation energy is 5.99 kJ per mole of atoms. The volume comes out at 170.54 Å³/cell.


[6]
Here is a relaxed K2CuPb crystal from Alexandria. Energies are from GGA-PBE.

Structure (POSCAR):
```
K2CuPb
1.0
3.8456 0.0000 0.0000
0.0000 3.8502 0.0000
0.0000 0.0000 10.2341
Cu K Pb
1 2 1
Direct
0.5000 0.5000 0.6670
0.0000 0.0000 0.9260
0.5000 0.5000 0.3226
0.0000 0.0000 0.5844
```

The total energy is -0.1746 Ry per atom. Its mass density is 3.8 Mg/m³. For the magnetic moment, the calculation gives 0.000 μB per atom. The formation energy is 12.03 kJ per mole of atoms. The volume comes out at 151.53 Å³/cell.


[7]
Here is a relaxed KCuPb crystal from Alexandria. Energies are from GGA-PBE.

Structure (POSCAR):
```
KCuPb
1.0
-4.4187 -2.3608 -1.7475
0.0484 -2.6511 -4.5958
-0.3521 -5.2941 -0.0126
Cu K Pb
1 1 1
Direct
0.5000 0.5000 0.5000
0.7500 0.7500 0.7500
0.0000 0.0000 0.0000
```

The total energy is -0.1541 Ry per atom. Its mass density is 4.9 Mg/m³. For the magnetic moment, the calculation gives 0.002 μB per atom. The formation energy is 84.00 kJ per mole of atoms. The volume comes out at 105.62 Å³/cell.


[8]
Here is a relaxed K2CuPb crystal from Alexandria. Energies are from GGA-PBE.

Structure (POSCAR):
```
K2CuPb
1.0
-0.1748 -3.8766 -2.8370
5.2801 0.4257 -0.9069
3.7536 -3.3597 4.3594
Cu K Pb
1 2 1
Direct
0.5000 0.5853 0.7053
0.0000 0.9724 0.9299
0.5000 0.2747 0.3253
0.0000 0.6675 0.5395
```

The total energy is -0.1793 Ry per atom. Its mass density is 3.7 Mg/m³. For the magnetic moment, the calculation gives 0.000 μB per atom. The formation energy is 5.81 kJ per mole of atoms. The volume comes out at 157.50 Å³/cell.


[9]
Here is a relaxed K2CuPb crystal from Alexandria. Energies are from GGA-PBE.

Structure (POSCAR):
```
K2CuPb
1.0
5.1068 0.0000 0.0000
0.0000 3.9193 0.0034
0.0000 3.7470 6.6592
Cu K Pb
1 2 1
Direct
0.5000 0.7500 0.7500
0.0000 0.9972 0.9893
0.0000 0.5028 0.5107
0.5000 0.2500 0.2500
```

The total energy is -0.1643 Ry per atom. Its mass density is 4.3 Mg/m³. For the magnetic moment, the calculation gives 0.000 μB per atom. The formation energy is 25.52 kJ per mole of atoms. The volume comes out at 133.22 Å³/cell.


[10]
Here is a relaxed K2CuPb crystal from Alexandria. Energies are from GGA-PBE.

Structure (POSCAR):
```
K2CuPb
1.0
-5.0288 1.6550 11.5531
7.4006 -9.2752 4.5500
2.9574 -2.1360 8.5828
Pb K Cu
2 4 2
Direct
0.0000 0.0000 0.0000
0.7500 0.2500 0.5000
0.4341 0.1250 0.2500
0.3159 0.6250 0.2500
0.3750 0.5659 0.7500
0.8750 0.6841 0.7500
0.5000 0.5000 0.0000
0.2500 0.7500 0.5000
```

The total energy is -0.1744 Ry per atom. Its mass density is 2.9 Mg/m³. For the magnetic moment, the calculation gives 0.000 μB per atom. The formation energy is 12.32 kJ per mole of atoms. The volume comes out at 402.89 Å³/cell.


[11]
Here is a relaxed K2CuPb crystal from Alexandria. Energies are from GGA-PBE.

Structure (POSCAR):
```
K2CuPb
1.0
6.6118 -0.0203 -0.0235
2.3686 6.1730 0.0235
-3.8394 -4.0263 3.5728
Cu K Pb
1 2 1
Direct
0.3095 0.8095 0.5000
0.0332 0.0332 0.0000
0.7243 0.2243 0.5000
0.4330 0.4330 0.0000
```

The total energy is -0.1791 Ry per atom. Its mass density is 4.0 Mg/m³. For the magnetic moment, the calculation gives 0.000 μB per atom. The formation energy is 6.10 kJ per mole of atoms. The volume comes out at 146.29 Å³/cell.


[12]
Here is a relaxed KCu2Pb crystal from Alexandria. Energies are from GGA-PBE.

Structure (POSCAR):
```
KCu2Pb
1.0
-1.8508 -4.7144 -0.8803
4.7294 -1.9507 0.5033
0.0329 -4.4437 8.7195
Pb K Cu
2 2 4
Direct
0.0000 0.0000 0.0000
0.7500 0.2500 0.5000
0.5000 0.5000 0.0000
0.2500 0.7500 0.5000
0.8750 0.1250 0.2500
0.8750 0.6250 0.2500
0.3750 0.1250 0.7500
0.8750 0.1250 0.7500
```

The total energy is -0.2168 Ry per atom. Its mass density is 5.2 Mg/m³. For the magnetic moment, the calculation gives 0.000 μB per atom. The formation energy is 28.90 kJ per mole of atoms. The volume comes out at 240.12 Å³/cell.


[13]
Here is a relaxed K2CuPb crystal from Alexandria. Energies are from GGA-PBE.

Structure (POSCAR):
```
K2CuPb
1.0
-5.6251 -0.5360 9.3403
-8.3075 -2.0080 6.7914
-5.5140 -4.3883 8.3372
Cu K Pb
1 2 1
Direct
0.7500 0.7500 0.7500
0.0116 0.0116 0.0116
0.4884 0.4884 0.4884
0.2500 0.2500 0.2500
```

The total energy is -0.1597 Ry per atom. Its mass density is 4.0 Mg/m³. For the magnetic moment, the calculation gives 0.132 μB per atom. The formation energy is 31.52 kJ per mole of atoms. The volume comes out at 146.57 Å³/cell.


[14]
Here is a relaxed KCu3Pb crystal from Alexandria. Energies are from GGA-PBE.

Structure (POSCAR):
```
KCu3Pb
1.0
-0.5426 2.4171 -4.5359
4.3720 -2.1810 -1.6852
-2.7023 -4.0140 -1.8157
Pb K Cu
1 1 3
Direct
0.5000 0.5000 0.5000
0.0000 0.0000 0.0000
0.0000 0.5000 0.0000
0.0000 0.0000 0.5000
0.5000 0.0000 0.0000
```

As for the distance to the lowest polymorph of the same formula: 915 meV/atom. The total energy is -0.1501 Ry per atom. Its mass density is 5.3 Mg/m³. For the magnetic moment, the calculation gives 0.000 μB per atom. The formation energy is 132.76 kJ per mole of atoms. The volume comes out at 138.05 Å³/cell.